Computed, not measured: crystalline Nd2YAg3Se6 at its relaxed geometry at the PBE level of DFT.

a = 4.3122 Å, b = 9.6918 Å, c = 8.4431 Å
α = 102.29°, β = 104.80°, γ = 90.00°
Sites, in units of the cell vectors:
Nd1 0.8395 0.6850 0.6791
Nd2 0.1605 0.3150 0.3209
Y1 0.5000 0.0000 0.0000
Ag1 0.5000 0.5000 0.0000
Ag2 0.8348 0.2738 0.6695
Ag3 0.1652 0.7262 0.3305
Se1 0.3227 0.8796 0.6455
Se2 0.6571 0.5379 0.3142
Se3 0.6773 0.1204 0.3545
Se4 0.9807 0.1924 0.9614
Se5 0.0193 0.8076 0.0386
Se6 0.3429 0.4621 0.6858

Results
Space group: No. 12
Energy relative to the elements, uncorrected, eV per atom: -1.172
DOS at the Fermi energy, states/eV per cell: 0.0



Computed, not measured: crystalline Nd2Si3Ag at its relaxed geometry at the PBE level of DFT.

a = 7.8464 Å, b = 7.8464 Å, c = 7.8464 Å
α = 149.86°, β = 147.89°, γ = 44.62°
Sites, in units of the cell vectors:
Nd1 0.6330 0.1330 0.5000
Nd2 0.8663 0.8663 0.0000
Si1 0.2048 0.7048 0.5000
Si2 0.0432 0.5432 0.5000
Si3 0.2915 0.2915 0.0000
Ag1 0.4613 0.4613 0.0000

Results
Space group: No. 44
Energy relative to the elements, uncorrected, eV per atom: -0.636
DOS at the Fermi energy, states/eV per cell: 2.8



Computed, not measured: crystalline NdSi2Ag2 at its relaxed geometry at the PBE level of DFT.

a = 6.1550 Å, b = 6.1550 Å, c = 6.1550 Å
α = 139.65°, β = 139.65°, γ = 58.38°
Sites, in units of the cell vectors:
Si1 0.6083 0.6083 0.0000
Si2 0.3917 0.3917 0.0000
Nd1 0.0000 0.0000 0.0000
Ag1 0.7500 0.2500 0.5000
Ag2 0.2500 0.7500 0.5000

Results
Space group: No. 139
Energy relative to the elements, uncorrected, eV per atom: -0.430
DOS at the Fermi energy, states/eV per cell: 1.5



Computed, not measured: crystalline Nd12SiAg6 at its relaxed geometry at the PBE level of DFT.

a = 8.2434 Å, b = 8.2434 Å, c = 8.2434 Å
α = 91.49°, β = 91.49°, γ = 91.49°
Sites, in units of the cell vectors:
Nd1 0.8037 0.5418 0.4565
Nd2 0.4565 0.8037 0.5418
Nd3 0.5418 0.4565 0.8037
Nd4 0.1963 0.4582 0.5435
Nd5 0.5435 0.1963 0.4582
Nd6 0.4582 0.5435 0.1963
Nd7 0.9867 0.1231 0.3366
Nd8 0.8769 0.6634 0.0133
Nd9 0.6634 0.0133 0.8769
Nd10 0.0133 0.8769 0.6634
Nd11 0.1231 0.3366 0.9867
Nd12 0.3366 0.9867 0.1231
Si1 0.0000 0.0000 0.0000
Ag1 0.6971 0.8769 0.2654
Ag2 0.7346 0.3029 0.1231
Ag3 0.1231 0.7346 0.3029
Ag4 0.3029 0.1231 0.7346
Ag5 0.2654 0.6971 0.8769
Ag6 0.8769 0.2654 0.6971

Results
Space group: No. 148
Energy relative to the elements, uncorrected, eV per atom: -0.092
DOS at the Fermi energy, states/eV per cell: 19.1



Computed, not measured: crystalline Nd3Si3Ag2 at its relaxed geometry at the PBE level of DFT.

a = 4.3696 Å, b = 6.0324 Å, c = 14.5592 Å
α = 90.00°, β = 90.00°, γ = 111.23°
Site moments in Bohr magnetons follow the coordinates.
Sites, in units of the cell vectors:
Nd1 0.9227 0.8454 0.3831  0.10
Nd2 0.0773 0.1546 0.8831  0.10
Nd3 0.9227 0.8454 0.1169  0.10
Nd4 0.0773 0.1546 0.6169  0.10
Nd5 0.6382 0.2765 0.2500  0.16
Nd6 0.3618 0.7235 0.7500  0.16
Si1 0.5931 0.1862 0.4574  0.00
Si2 0.4069 0.8138 0.9574  0.00
Si3 0.5931 0.1862 0.0426  0.00
Si4 0.4069 0.8138 0.5426  0.00
Si5 0.3336 0.6672 0.2500  -0.01
Si6 0.6664 0.3328 0.7500  -0.01
Ag1 0.7844 0.5687 0.9189  0.01
Ag2 0.2156 0.4313 0.4189  0.01
Ag3 0.7844 0.5687 0.5811  0.01
Ag4 0.2156 0.4313 0.0811  0.01

Results
Space group: No. 63
Energy relative to the elements, uncorrected, eV per atom: -0.569
DOS at the Fermi energy, states/eV per cell: 5.1



Computed, not measured: crystalline Nd4Si2Ag at its relaxed geometry at the PBE level of DFT.

a = 5.0542 Å, b = 5.0542 Å, c = 9.4233 Å
α = 74.44°, β = 74.44°, γ = 60.00°
Sites, in units of the cell vectors:
Nd1 0.3808 0.3808 0.8575
Nd2 0.2060 0.2060 0.3819
Nd3 0.7940 0.7940 0.6181
Nd4 0.6192 0.6192 0.1425
Si1 0.0933 0.0933 0.7202
Si2 0.9067 0.9067 0.2798
Ag1 0.0000 0.0000 0.0000

Results
Space group: No. 166
Energy relative to the elements, uncorrected, eV per atom: -0.343
DOS at the Fermi energy, states/eV per cell: 7.4



Computed, not measured: crystalline Nd5Si2Ag at its relaxed geometry at the PBE level of DFT.

a = 7.7131 Å, b = 7.7131 Å, c = 9.2820 Å
α = 114.55°, β = 114.55°, γ = 90.00°
Sites, in units of the cell vectors:
Nd1 0.5341 0.6857 0.7198
Nd2 0.8143 0.9659 0.2802
Nd3 0.0000 0.0000 0.0000
Nd4 0.5000 0.5000 0.0000
Nd5 0.1857 0.0341 0.7198
Nd6 0.6857 0.1857 0.7198
Nd7 0.0341 0.5341 0.7198
Nd8 0.3143 0.8143 0.2802
Nd9 0.9659 0.4659 0.2802
Nd10 0.4659 0.3143 0.2802
Si1 0.1156 0.3844 0.0000
Si2 0.6156 0.1156 0.0000
Si3 0.3844 0.8844 0.0000
Si4 0.8844 0.6156 0.0000
Ag1 0.7500 0.7500 0.5000
Ag2 0.2500 0.2500 0.5000

Results
Space group: No. 140
Energy relative to the elements, uncorrected, eV per atom: -0.448
DOS at the Fermi energy, states/eV per cell: 18.8



Computed, not measured: crystalline Nd2SiAg at its relaxed geometry at the PBE level of DFT.

a = 3.7567 Å, b = 5.1849 Å, c = 5.1849 Å
α = 90.00°, β = 90.00°, γ = 90.00°
Sites, in units of the cell vectors:
Si1 0.5000 0.0000 0.0000
Nd1 0.0000 0.0000 0.5000
Nd2 0.0000 0.5000 0.0000
Ag1 0.5000 0.5000 0.5000

Results
Space group: No. 123
Energy relative to the elements, uncorrected, eV per atom: -0.384
DOS at the Fermi energy, states/eV per cell: 4.0



Computed, not measured: crystalline Nd3Si4Ag2 at its relaxed geometry at the PBE level of DFT.

a = 4.2912 Å, b = 5.9535 Å, c = 8.4551 Å
α = 101.41°, β = 90.00°, γ = 111.12°
Sites, in units of the cell vectors:
Nd1 0.6611 0.3223 0.6727
Nd2 0.0000 0.0000 0.0000
Nd3 0.3389 0.6777 0.3273
Si1 0.7214 0.4427 0.0493
Si2 0.2786 0.5573 0.9507
Si3 0.9434 0.8868 0.6044
Si4 0.0566 0.1132 0.3956
Ag1 0.6161 0.2322 0.2815
Ag2 0.3839 0.7678 0.7185

Results
Space group: No. 12
Energy relative to the elements, uncorrected, eV per atom: -0.610
DOS at the Fermi energy, states/eV per cell: 4.2



Computed, not measured: crystalline Nd4SiAg at its relaxed geometry at the PBE level of DFT.

a = 5.4393 Å, b = 6.3803 Å, c = 11.1249 Å
α = 90.00°, β = 104.15°, γ = 90.00°
Sites, in units of the cell vectors:
Nd1 0.8773 0.3132 0.7546
Nd2 0.1227 0.8132 0.2454
Nd3 0.4370 0.8287 0.8740
Nd4 0.5630 0.3287 0.1260
Nd5 0.7139 0.5620 0.4277
Nd6 0.2861 0.0620 0.5723
Nd7 0.7085 0.0800 0.4170
Nd8 0.2915 0.5800 0.5830
Si1 0.8402 0.8226 0.6803
Si2 0.1598 0.3226 0.3197
Ag1 0.5764 0.8268 0.1528
Ag2 0.4236 0.3268 0.8472

Results
Space group: No. 36
Energy relative to the elements, uncorrected, eV per atom: -0.082
DOS at the Fermi energy, states/eV per cell: 14.3



Computed, not measured: crystalline Nd3Si4Ag7 at its relaxed geometry at the PBE level of DFT.

a = 4.3837 Å, b = 8.4410 Å, c = 8.5487 Å
α = 69.71°, β = 75.14°, γ = 74.95°
Sites, in units of the cell vectors:
Nd1 0.3053 0.1899 0.1995
Nd2 0.6947 0.8101 0.8005
Nd3 0.0000 0.5000 0.5000
Si1 0.6586 0.4524 0.2304
Si2 0.3414 0.5476 0.7696
Si3 0.8810 0.9054 0.3325
Si4 0.1190 0.0946 0.6675
Ag1 0.3239 0.8315 0.5207
Ag2 0.4914 0.2192 0.7980
Ag3 0.8415 0.3980 0.9190
Ag4 0.6761 0.1685 0.4793
Ag5 0.1585 0.6020 0.0810
Ag6 0.0000 0.0000 0.0000
Ag7 0.5086 0.7808 0.2020

Results
Space group: No. 12
Energy relative to the elements, uncorrected, eV per atom: -0.338
DOS at the Fermi energy, states/eV per cell: 5.6



Computed, not measured: crystalline Nd2SiAg at its relaxed geometry at the PBE level of DFT.

a = 4.3476 Å, b = 4.3476 Å, c = 7.6326 Å
α = 73.45°, β = 73.45°, γ = 60.00°
Sites, in units of the cell vectors:
Si1 0.0000 0.0000 0.0000
Nd1 0.7398 0.7398 0.7805
Nd2 0.2602 0.2602 0.2195
Ag1 0.5000 0.5000 0.5000

Results
Space group: No. 166
Energy relative to the elements, uncorrected, eV per atom: -0.316
DOS at the Fermi energy, states/eV per cell: 4.1



Computed, not measured: crystalline Nd2SiAg at its relaxed geometry at the PBE level of DFT.

a = 4.4253 Å, b = 6.1917 Å, c = 8.2111 Å
α = 111.38°, β = 90.00°, γ = 90.00°
Sites, in units of the cell vectors:
Nd1 0.7500 0.2027 0.4226
Nd2 0.2500 0.7973 0.5774
Nd3 0.2500 0.7777 0.0689
Nd4 0.7500 0.2223 0.9311
Si1 0.7500 0.6685 0.2909
Si2 0.2500 0.3315 0.7091
Ag1 0.2500 0.3655 0.2204
Ag2 0.7500 0.6345 0.7796

Results
Space group: No. 11
Energy relative to the elements, uncorrected, eV per atom: -0.443
DOS at the Fermi energy, states/eV per cell: 8.4



Computed, not measured: crystalline NdSmSiAg at its relaxed geometry at the PBE level of DFT.

a = 5.1911 Å, b = 5.1911 Å, c = 5.1911 Å
α = 60.00°, β = 60.00°, γ = 60.00°
Sites, in units of the cell vectors:
Si1 0.7500 0.7500 0.7500
Nd1 0.5000 0.5000 0.5000
Ag1 0.2500 0.2500 0.2500
Sm1 0.0000 0.0000 0.0000

Results
Space group: No. 216
Energy relative to the elements, uncorrected, eV per atom: -0.420
DOS at the Fermi energy, states/eV per cell: 4.0



Computed, not measured: crystalline SrNdSiAg at its relaxed geometry at the PBE level of DFT.

a = 5.3228 Å, b = 5.3228 Å, c = 5.3228 Å
α = 60.00°, β = 60.00°, γ = 60.00°
Sites, in units of the cell vectors:
Sr1 0.5000 0.5000 0.5000
Si1 0.2500 0.2500 0.2500
Nd1 0.0000 0.0000 0.0000
Ag1 0.7500 0.7500 0.7500

Results
Space group: No. 216
Energy relative to the elements, uncorrected, eV per atom: -0.339
DOS at the Fermi energy, states/eV per cell: 1.7



Computed, not measured: crystalline TbNdSiAg at its relaxed geometry at the PBE level of DFT.

a = 5.1479 Å, b = 5.1479 Å, c = 5.1479 Å
α = 60.00°, β = 60.00°, γ = 60.00°
Sites, in units of the cell vectors:
Nd1 0.0000 0.0000 0.0000
Si1 0.2500 0.2500 0.2500
Tb1 0.5000 0.5000 0.5000
Ag1 0.7500 0.7500 0.7500

Results
Space group: No. 216
Energy relative to the elements, uncorrected, eV per atom: -0.425
DOS at the Fermi energy, states/eV per cell: 3.7



Computed, not measured: crystalline NdYSiAg at its relaxed geometry at the PBE level of DFT.

a = 5.1425 Å, b = 5.1425 Å, c = 5.1425 Å
α = 60.00°, β = 60.00°, γ = 60.00°
Sites, in units of the cell vectors:
Y1 0.7500 0.7500 0.7500
Si1 0.5000 0.5000 0.5000
Nd1 0.2500 0.2500 0.2500
Ag1 0.0000 0.0000 0.0000

Results
Space group: No. 216
Energy relative to the elements, uncorrected, eV per atom: -0.435
DOS at the Fermi energy, states/eV per cell: 3.5



Computed, not measured: crystalline Nd3Sm4Ag at its relaxed geometry at the PBE level of DFT.

a = 3.6611 Å, b = 3.6611 Å, c = 19.3669 Å
α = 90.00°, β = 90.00°, γ = 90.00°
Sites, in units of the cell vectors:
Nd1 0.5000 0.5000 0.2331
Nd2 0.5000 0.5000 0.5000
Nd3 0.5000 0.5000 0.7669
Ag1 0.5000 0.5000 0.0000
Sm1 0.0000 0.0000 0.9011
Sm2 0.0000 0.0000 0.0989
Sm3 0.0000 0.0000 0.3660
Sm4 0.0000 0.0000 0.6340

Results
Energy relative to the elements, eV per atom: -0.051
Space group: No. 123
DOS at the Fermi energy, states/eV per cell: 11.3



Computed, not measured: crystalline Nd2SmAg at its relaxed geometry at the PBE level of DFT.

a = 6.6497 Å, b = 7.0881 Å, c = 10.5674 Å
α = 90.00°, β = 90.00°, γ = 90.00°
Sites, in units of the cell vectors:
Nd1 0.1722 0.6955 0.0441
Nd2 0.3278 0.1955 0.4559
Nd3 0.8278 0.3045 0.5441
Nd4 0.6722 0.8045 0.9559
Nd5 0.8278 0.3045 0.9559
Nd6 0.6722 0.8045 0.5441
Nd7 0.1722 0.6955 0.4559
Nd8 0.3278 0.1955 0.0441
Sm1 0.6278 0.5100 0.2500
Sm2 0.8722 0.0100 0.2500
Sm3 0.3722 0.4900 0.7500
Sm4 0.1278 0.9900 0.7500
Ag1 0.0760 0.4009 0.2500
Ag2 0.4240 0.9009 0.2500
Ag3 0.9240 0.5991 0.7500
Ag4 0.5760 0.0991 0.7500

Results
Energy relative to the elements, eV per atom: -0.085
Space group: No. 62
DOS at the Fermi energy, states/eV per cell: 16.7



Computed, not measured: crystalline NdSm2Ag2 at its relaxed geometry at the PBE level of DFT.

a = 4.9823 Å, b = 5.3165 Å, c = 11.3600 Å
α = 96.28°, β = 90.00°, γ = 90.00°
Sites, in units of the cell vectors:
Nd1 0.2500 0.6996 0.2452
Nd2 0.7500 0.3004 0.7548
Sm1 0.2500 0.8405 0.8864
Sm2 0.7500 0.1595 0.1136
Sm3 0.2500 0.2512 0.5083
Sm4 0.7500 0.7488 0.4917
Ag1 0.2500 0.7814 0.6343
Ag2 0.7500 0.2186 0.3657
Ag3 0.2500 0.3622 0.9961
Ag4 0.7500 0.6378 0.0039

Results
Energy relative to the elements, eV per atom: -0.083
Space group: No. 11
DOS at the Fermi energy, states/eV per cell: 11.2



Computed, not measured: crystalline Nd2SmAg at its relaxed geometry at the PBE level of DFT.

a = 3.7097 Å, b = 5.6621 Å, c = 5.6621 Å
α = 90.00°, β = 90.00°, γ = 90.00°
Sites, in units of the cell vectors:
Nd1 0.0000 0.0000 0.5000
Nd2 0.0000 0.5000 0.0000
Sm1 0.5000 0.5000 0.5000
Ag1 0.5000 0.0000 0.0000

Results
Energy relative to the elements, eV per atom: -0.010
Space group: No. 123
DOS at the Fermi energy, states/eV per cell: 4.8



Computed, not measured: crystalline NdSm2Ag at its relaxed geometry at the PBE level of DFT.

a = 5.4607 Å, b = 5.4607 Å, c = 5.4607 Å
α = 60.00°, β = 60.00°, γ = 60.00°
Site moments in Bohr magnetons follow the coordinates.
Sites, in units of the cell vectors:
Nd1 0.0000 0.0000 0.0000  0.51
Ag1 0.5000 0.5000 0.5000  0.02
Sm1 0.2500 0.2500 0.2500  0.30
Sm2 0.7500 0.7500 0.7500  0.30

Results
Energy relative to the elements, eV per atom: 0.100
Space group: No. 225
DOS at the Fermi energy, states/eV per cell: 5.7



Computed, not measured: crystalline Nd3Sm5Ag2 at its relaxed geometry at the PBE level of DFT.

a = 6.6870 Å, b = 10.6582 Å, c = 10.6582 Å
α = 66.06°, β = 71.72°, γ = 71.72°
Sites, in units of the cell vectors:
Nd1 0.2500 0.0000 0.0000
Nd2 0.7500 0.0000 0.0000
Nd3 0.3330 0.3838 0.9501
Nd4 0.6670 0.6162 0.0499
Nd5 0.8330 0.9501 0.3838
Nd6 0.1670 0.0499 0.6162
Sm1 0.2500 0.5000 0.5000
Sm2 0.7500 0.5000 0.5000
Sm3 0.5575 0.6925 0.6925
Sm4 0.9425 0.3075 0.3075
Sm5 0.4425 0.3075 0.3075
Sm6 0.0575 0.6925 0.6925
Sm7 0.0614 0.6708 0.2064
Sm8 0.9386 0.3292 0.7936
Sm9 0.5614 0.2064 0.6708
Sm10 0.4386 0.7936 0.3292
Ag1 0.1645 0.7711 0.8999
Ag2 0.8355 0.2289 0.1001
Ag3 0.6645 0.8999 0.7711
Ag4 0.3355 0.1001 0.2289

Results
Energy relative to the elements, eV per atom: 0.097
Space group: No. 72
DOS at the Fermi energy, states/eV per cell: 29.0